Entry 1:
VASP calculation (PBE) on crystalline Sm2Co3As4Ru at its relaxed geometry.

Output
- mass density (Mg/m³) = 8.83
- DFT formation energy (kJ/mol of atoms) = -72

Cell: 4.155 4.155 9.562 Å, 90.00 90.00 90.00°
Fractional coordinates of all 10 atoms:
Sm1 0.000 0.500 0.242
Sm2 0.500 0.000 0.758
Co1 0.000 0.500 0.885
Co2 0.500 0.000 0.115
Co3 0.500 0.500 0.500
As1 0.000 0.000 0.000
As2 0.000 0.500 0.640
As3 0.500 0.000 0.360
As4 0.500 0.500 0.000
Ru1 0.000 0.000 0.500


Entry 2:
VASP calculation (PBE) on crystalline Na3HgBi3Pb2 at its relaxed geometry.

Output
- mass density (Mg/m³) = 8.07
- DFT formation energy (kJ/mol of atoms) = -15

Cell: 9.384 9.384 3.536 Å, 90.00 90.00 120.00°
Fractional coordinates of all 9 atoms:
Na1 0.000 0.718 0.000
Na2 0.282 0.282 0.000
Na3 0.718 0.000 0.000
Hg1 0.000 0.000 0.500
Bi1 0.000 0.370 0.500
Bi2 0.370 0.000 0.500
Bi3 0.630 0.630 0.500
Pb1 0.333 0.667 0.000
Pb2 0.667 0.333 0.000


Entry 3:
VASP calculation (PBE) on crystalline Tb6Sm2Er3Mg at its relaxed geometry.

Output
- mass density (Mg/m³) = 7.91
- DFT formation energy (kJ/mol of atoms) = 2

Cell: 6.122 6.122 11.703 Å, 95.02 95.02 120.05°
Fractional coordinates of all 12 atoms:
Tb1 0.083 0.415 0.752
Tb2 0.249 0.249 0.247
Tb3 0.415 0.083 0.752
Tb4 0.585 0.917 0.248
Tb5 0.751 0.751 0.753
Tb6 0.917 0.585 0.248
Sm1 0.334 0.666 0.500
Sm2 0.666 0.334 0.500
Er1 0.166 0.834 0.000
Er2 0.500 0.500 0.000
Er3 0.834 0.166 0.000
Mg1 0.000 0.000 0.500


Entry 4:
VASP calculation (PBE) on crystalline NaLaHg4 at its relaxed geometry.

Output
- polymorph energy (0 for the lowest one) (meV/atom) = 11.3
- mass density (Mg/m³) = 10.18
- DFT formation energy (kJ/mol of atoms) = -32

Cell: 3.472 5.076 8.926 Å, 90.00 90.00 90.00°
Fractional coordinates of all 6 atoms:
Na1 0.000 0.000 0.000
La1 0.000 0.500 0.500
Hg1 0.500 0.000 0.330
Hg2 0.500 0.000 0.670
Hg3 0.500 0.500 0.160
Hg4 0.500 0.500 0.840